Arrangement i

# PBE-GGA VCuNi2, relaxed
data_VCuNi2
_chemical_formula_sum 'V1 Cu1 Ni2'
_space_group_name_H-M_alt 'P 1'
_space_group_IT_number 1
_cell_length_a 2.776
_cell_length_b 4.125
_cell_length_c 4.125
_cell_angle_alpha 90.00
_cell_angle_beta 90.00
_cell_angle_gamma 90.00
loop_
_space_group_symop_operation_xyz
'x,y,z'
loop_
_atom_site_label
_atom_site_type_symbol
_atom_site_fract_x
_atom_site_fract_y
_atom_site_fract_z
Ni1 Ni 0.000 0.000 0.500
Ni2 Ni 0.000 0.500 0.000
Cu1 Cu 0.500 0.000 0.000
V1 V 0.500 0.500 0.500
# crystal system: tetragonal
# spin magnetization: 1.058 Bohr magnetons per cell
# symmetry: P4/mmm (123)

***

Arrangement ii

# PBE-GGA VCuNi2, relaxed
data_VCuNi2
_chemical_formula_sum 'V1 Cu1 Ni2'
_space_group_name_H-M_alt 'P 1'
_space_group_IT_number 1
_cell_length_a 4.041
_cell_length_b 4.041
_cell_length_c 4.041
_cell_angle_alpha 60.00
_cell_angle_beta 60.00
_cell_angle_gamma 60.00
loop_
_space_group_symop_operation_xyz
'x,y,z'
loop_
_atom_site_label
_atom_site_type_symbol
_atom_site_fract_x
_atom_site_fract_y
_atom_site_fract_z
Ni1 Ni 0.250 0.250 0.250
Ni2 Ni 0.750 0.750 0.750
Cu1 Cu 0.500 0.500 0.500
V1 V 0.000 0.000 0.000
# crystal system: cubic
# spin magnetization: 0.239 Bohr magnetons per cell
# symmetry: Fm-3m (225)

***

On energetic grounds, arrangement ii is preferred over the next structure by 8.8 kJ/mol of atoms.

***

Arrangement i

# PBE-GGA VCu2Ni, relaxed
data_VCu2Ni
_chemical_formula_sum 'V1 Cu2 Ni1'
_space_group_name_H-M_alt 'P 1'
_space_group_IT_number 1
_cell_length_a 4.079
_cell_length_b 4.079
_cell_length_c 4.079
_cell_angle_alpha 60.00
_cell_angle_beta 60.00
_cell_angle_gamma 60.00
loop_
_space_group_symop_operation_xyz
'x,y,z'
loop_
_atom_site_label
_atom_site_type_symbol
_atom_site_fract_x
_atom_site_fract_y
_atom_site_fract_z
Ni1 Ni 0.500 0.500 0.500
Cu1 Cu 0.250 0.250 0.250
Cu2 Cu 0.750 0.750 0.750
V1 V 0.000 0.000 0.000
# crystal system: cubic
# spin magnetization: 0.000 Bohr magnetons per cell
# symmetry: Fm-3m (225)

***

Arrangement ii

# PBE-GGA VCu2Ni, relaxed
data_VCu2Ni
_chemical_formula_sum 'V1 Cu2 Ni1'
_space_group_name_H-M_alt 'P 1'
_space_group_IT_number 1
_cell_length_a 2.508
_cell_length_b 2.508
_cell_length_c 9.276
_cell_angle_alpha 82.23
_cell_angle_beta 82.23
_cell_angle_gamma 60.00
loop_
_space_group_symop_operation_xyz
'x,y,z'
loop_
_atom_site_label
_atom_site_type_symbol
_atom_site_fract_x
_atom_site_fract_y
_atom_site_fract_z
Ni1 Ni 0.500 0.500 0.500
Cu1 Cu 0.091 0.091 0.728
Cu2 Cu 0.909 0.909 0.272
V1 V 0.000 0.000 0.000
# crystal system: trigonal
# spin magnetization: 0.239 Bohr magnetons per cell
# symmetry: R-3m (166)

***

On energetic grounds, arrangement i is preferred over the next structure by 15.8 kJ/mol of atoms.

***

Arrangement i

# PBE-GGA VCuNi6, relaxed
data_VCuNi6
_chemical_formula_sum 'V4 Cu4 Ni24'
_space_group_name_H-M_alt 'P 1'
_space_group_IT_number 1
_cell_length_a 6.139
_cell_length_b 6.139
_cell_length_c 10.041
_cell_angle_alpha 90.00
_cell_angle_beta 90.00
_cell_angle_gamma 109.50
loop_
_space_group_symop_operation_xyz
'x,y,z'
loop_
_atom_site_label
_atom_site_type_symbol
_atom_site_fract_x
_atom_site_fract_y
_atom_site_fract_z
V1 V 0.754 0.246 0.750
V2 V 0.246 0.754 0.750
V3 V 0.000 0.000 0.495
V4 V 0.000 0.000 0.005
Cu1 Cu 0.750 0.250 0.250
Cu2 Cu 0.250 0.750 0.250
Cu3 Cu 0.500 0.500 0.499
Cu4 Cu 0.500 0.500 0.001
Ni1 Ni 0.752 0.248 0.502
Ni2 Ni 0.627 0.877 0.376
Ni3 Ni 0.373 0.123 0.376
Ni4 Ni 0.248 0.752 0.502
Ni5 Ni 0.123 0.373 0.376
Ni6 Ni 0.877 0.627 0.376
Ni7 Ni 0.500 0.500 0.750
Ni8 Ni 0.375 0.123 0.626
Ni9 Ni 0.123 0.375 0.626
Ni10 Ni 0.752 0.248 0.998
Ni11 Ni 0.625 0.877 0.874
Ni12 Ni 0.375 0.123 0.874
Ni13 Ni 0.248 0.752 0.998
Ni14 Ni 0.123 0.375 0.874
Ni15 Ni 0.877 0.625 0.874
Ni16 Ni 0.500 0.500 0.250
Ni17 Ni 0.373 0.123 0.124
Ni18 Ni 0.123 0.373 0.124
Ni19 Ni 0.000 0.000 0.750
Ni20 Ni 0.877 0.625 0.626
Ni21 Ni 0.625 0.877 0.626
Ni22 Ni 0.000 0.000 0.250
Ni23 Ni 0.877 0.627 0.124
Ni24 Ni 0.627 0.877 0.124
# crystal system: orthorhombic
# spin magnetization: 4.182 Bohr magnetons per cell
# symmetry: Cmmm (65)

***

Arrangement ii

# PBE-GGA VCuNi6, relaxed
data_VCuNi6
_chemical_formula_sum 'V1 Cu1 Ni6'
_space_group_name_H-M_alt 'P 1'
_space_group_IT_number 1
_cell_length_a 4.046
_cell_length_b 5.045
_cell_length_c 5.045
_cell_angle_alpha 119.98
_cell_angle_beta 90.00
_cell_angle_gamma 90.00
loop_
_space_group_symop_operation_xyz
'x,y,z'
loop_
_atom_site_label
_atom_site_type_symbol
_atom_site_fract_x
_atom_site_fract_y
_atom_site_fract_z
V1 V 0.000 0.083 0.917
Cu1 Cu 0.500 0.417 0.583
Ni1 Ni 0.000 0.083 0.416
Ni2 Ni 0.000 0.584 0.917
Ni3 Ni 0.000 0.584 0.416
Ni4 Ni 0.500 0.418 0.084
Ni5 Ni 0.500 0.916 0.582
Ni6 Ni 0.500 0.916 0.084
# crystal system: hexagonal
# spin magnetization: 0.004 Bohr magnetons per cell
# symmetry: P-6m2 (187)

***

On energetic grounds, arrangement i is preferred over the next structure by 3.0 kJ/mol of atoms.

***

Arrangement i

# PBE-GGA VCuNi5, relaxed
data_VCuNi5
_chemical_formula_sum 'V1 Cu1 Ni5'
_space_group_name_H-M_alt 'P 1'
_space_group_IT_number 1
_cell_length_a 3.546
_cell_length_b 3.546
_cell_length_c 6.741
_cell_angle_alpha 90.00
_cell_angle_beta 90.00
_cell_angle_gamma 90.00
loop_
_space_group_symop_operation_xyz
'x,y,z'
loop_
_atom_site_label
_atom_site_type_symbol
_atom_site_fract_x
_atom_site_fract_y
_atom_site_fract_z
V1 V 0.000 0.000 0.500
Cu1 Cu 0.500 0.500 0.000
Ni1 Ni 0.000 0.500 0.757
Ni2 Ni 0.000 0.500 0.243
Ni3 Ni 0.500 0.000 0.757
Ni4 Ni 0.500 0.000 0.243
Ni5 Ni 0.500 0.500 0.500
# crystal system: tetragonal
# spin magnetization: 1.061 Bohr magnetons per cell
# symmetry: P4/mmm (123)

***

Arrangement ii

# PBE-GGA VCuNi5, relaxed
data_VCuNi5
_chemical_formula_sum 'V1 Cu1 Ni5'
_space_group_name_H-M_alt 'P 1'
_space_group_IT_number 1
_cell_length_a 8.039
_cell_length_b 4.565
_cell_length_c 5.152
_cell_angle_alpha 116.30
_cell_angle_beta 141.27
_cell_angle_gamma 90.00
loop_
_space_group_symop_operation_xyz
'x,y,z'
loop_
_atom_site_label
_atom_site_type_symbol
_atom_site_fract_x
_atom_site_fract_y
_atom_site_fract_z
V1 V 0.560 0.000 0.000
Cu1 Cu 0.693 0.500 0.000
Ni1 Ni 0.181 0.243 0.486
Ni2 Ni 0.963 0.500 0.000
Ni3 Ni 0.695 0.757 0.514
Ni4 Ni 0.219 0.244 0.000
Ni5 Ni 0.219 0.756 0.000
# crystal system: orthorhombic
# spin magnetization: 0.297 Bohr magnetons per cell
# symmetry: Imm2 (44)

***

On energetic grounds, arrangement i is preferred over the next structure by 16.1 kJ/mol of atoms.

***

Arrangement i

# PBE-GGA V2CuNi8, relaxed
data_V2CuNi8
_chemical_formula_sum 'V2 Cu1 Ni8'
_space_group_name_H-M_alt 'P 1'
_space_group_IT_number 1
_cell_length_a 4.178
_cell_length_b 6.269
_cell_length_c 6.524
_cell_angle_alpha 61.28
_cell_angle_beta 76.27
_cell_angle_gamma 60.40
loop_
_space_group_symop_operation_xyz
'x,y,z'
loop_
_atom_site_label
_atom_site_type_symbol
_atom_site_fract_x
_atom_site_fract_y
_atom_site_fract_z
V1 V 0.000 0.307 0.386
V2 V 0.000 0.693 0.614
Cu1 Cu 0.500 0.000 0.000
Ni1 Ni 0.848 0.102 0.228
Ni2 Ni 0.848 0.330 0.772
Ni3 Ni 0.304 0.415 0.000
Ni4 Ni 0.500 0.790 0.420
Ni5 Ni 0.500 0.210 0.580
Ni6 Ni 0.696 0.585 0.000
Ni7 Ni 0.152 0.670 0.228
Ni8 Ni 0.152 0.898 0.772
# crystal system: monoclinic
# spin magnetization: 0.000 Bohr magnetons per cell
# symmetry: C2/m (12)

***

Arrangement ii

# PBE-GGA V2CuNi8, relaxed
data_V2CuNi8
_chemical_formula_sum 'V2 Cu1 Ni8'
_space_group_name_H-M_alt 'P 1'
_space_group_IT_number 1
_cell_length_a 3.914
_cell_length_b 5.767
_cell_length_c 6.661
_cell_angle_alpha 115.67
_cell_angle_beta 107.09
_cell_angle_gamma 90.00
loop_
_space_group_symop_operation_xyz
'x,y,z'
loop_
_atom_site_label
_atom_site_type_symbol
_atom_site_fract_x
_atom_site_fract_y
_atom_site_fract_z
V1 V 0.196 0.696 0.392
V2 V 0.804 0.304 0.608
Cu1 Cu 0.500 0.000 0.000
Ni1 Ni 0.643 0.858 0.287
Ni2 Ni 0.356 0.571 0.713
Ni3 Ni 0.166 0.165 0.331
Ni4 Ni 0.000 0.289 0.000
Ni5 Ni 0.834 0.835 0.669
Ni6 Ni 0.644 0.429 0.287
Ni7 Ni 0.357 0.142 0.713
Ni8 Ni 0.000 0.711 0.000
# crystal system: orthorhombic
# spin magnetization: 0.000 Bohr magnetons per cell
# symmetry: Immm (71)

***

On energetic grounds, arrangement ii is preferred over the next structure by 9.7 kJ/mol of atoms.